Record 1
# La2PaSn, optimized geometry, DFT GGA-PBE
data_La2PaSn
_chemical_formula_sum 'La2 Pa1 Sn1'
_cell_length_a 4.923
_cell_length_b 4.923
_cell_length_c 4.818
_cell_angle_alpha 90.00
_cell_angle_beta 90.00
_cell_angle_gamma 90.00
_symmetry_space_group_name_H-M 'P 4/m m m'
_symmetry_Int_Tables_number 123
_symmetry_space_group_name_Hall '-P 4 2'
loop_
_atom_site_label
_atom_site_type_symbol
_atom_site_fract_x
_atom_site_fract_y
_atom_site_fract_z
La1 La 0.000 0.500 0.000
Pa1 Pa 0.000 0.000 0.500
Sn1 Sn 0.500 0.500 0.500
# Distance to the lowest polymorph of the same formula, meV per atom: 0
# Energy of formation, eV/atom: -0.20
# Magnetization, μB per atom: 0.000

Record 2
# BeV2H4, optimized geometry, DFT GGA-PBE
data_BeV2H4
_chemical_formula_sum 'Be8 V16 H32'
_cell_length_a 7.044
_cell_length_b 8.075
_cell_length_c 7.036
_cell_angle_alpha 90.00
_cell_angle_beta 90.00
_cell_angle_gamma 90.00
_symmetry_space_group_name_H-M 'F d d 2'
_symmetry_Int_Tables_number 43
_symmetry_space_group_name_Hall 'F 2 -2d'
loop_
_atom_site_label
_atom_site_type_symbol
_atom_site_fract_x
_atom_site_fract_y
_atom_site_fract_z
Be1 Be 0.000 0.000 0.000
V1 V 0.125 0.125 0.627
H1 H 0.114 0.142 0.888
H2 H 0.114 0.358 0.615
# Distance to the lowest polymorph of the same formula, meV per atom: 0
# Magnetization, μB per atom: 0.000

no.,ρ (g/cm³)
1,8.9
2,3.8